[1]
{
  "formula": "Ac2PmGe3Pd4",
  "functional": "PBE",
  "state": "relaxed",
  "dos_at_fermi_per_ev_fu": 5.78,
  "ef_ev_per_atom": -0.83,
  "total_magnetization_mub_per_cell": 0.00,
  "lattice": [[4.442, 0.000, 0.000], [0.000, 4.442, 0.000], [0.000, 0.000, 11.380]],
  "species": ["Ac", "Ac", "Pm", "Ge", "Ge", "Ge", "Pd", "Pd", "Pd", "Pd"],
  "fractional_positions": [[0.500, 0.000, 0.225], [0.000, 0.500, 0.775], [0.500, 0.500, 0.500], [0.000, 0.000, 0.500], [0.500, 0.000, 0.884], [0.000, 0.500, 0.116], [0.500, 0.500, 0.000], [0.000, 0.000, 0.000], [0.500, 0.000, 0.661], [0.000, 0.500, 0.339]]
}

[2]
{
  "formula": "Ac2PmGe2Pd7",
  "functional": "PBE",
  "state": "relaxed",
  "dos_at_fermi_per_ev_fu": 5.13,
  "ef_ev_per_atom": -0.81,
  "total_magnetization_mub_per_cell": 0.00,
  "lattice": [[-2.573, 2.952, -1.708], [-3.304, -1.502, 2.253], [1.328, 9.171, 10.560]],
  "species": ["Ac", "Ac", "Pm", "Ge", "Ge", "Pd", "Pd", "Pd", "Pd", "Pd", "Pd", "Pd"],
  "fractional_positions": [[0.898, 0.898, 0.352], [0.102, 0.102, 0.648], [0.000, 0.000, 0.000], [0.576, 0.576, 0.757], [0.424, 0.424, 0.243], [0.500, 0.500, 0.000], [0.385, 0.385, 0.425], [0.615, 0.615, 0.575], [0.952, 0.455, 0.150], [0.455, 0.952, 0.150], [0.545, 0.048, 0.850], [0.048, 0.545, 0.850]]
}

[3]
{
  "formula": "Ac2PrGe4Pd3",
  "functional": "PBE",
  "state": "relaxed",
  "dos_at_fermi_per_ev_fu": 4.40,
  "ef_ev_per_atom": -0.77,
  "total_magnetization_mub_per_cell": 0.00,
  "lattice": [[-3.092, -1.822, 2.663], [1.648, -4.063, -0.867], [7.202, 0.993, 9.042]],
  "species": ["Ac", "Ac", "Pr", "Ge", "Ge", "Ge", "Ge", "Pd", "Pd", "Pd"],
  "fractional_positions": [[0.500, 0.000, 0.224], [0.000, 0.500, 0.776], [0.500, 0.500, 0.500], [0.500, 0.500, 0.000], [0.000, 0.000, 0.000], [0.500, 0.000, 0.668], [0.000, 0.500, 0.332], [0.000, 0.000, 0.500], [0.500, 0.000, 0.888], [0.000, 0.500, 0.112]]
}

[4]
{
  "formula": "Ac2PrGe3Pd12",
  "functional": "PBE",
  "state": "relaxed",
  "dos_at_fermi_per_ev_fu": 8.07,
  "ef_ev_per_atom": -0.47,
  "total_magnetization_mub_per_cell": 0.00,
  "lattice": [[-0.121, 6.184, -3.439], [-5.549, -1.644, -4.073], [-4.812, 2.994, 4.239]],
  "species": ["Ac", "Ac", "Pr", "Ge", "Ge", "Ge", "Pd", "Pd", "Pd", "Pd", "Pd", "Pd", "Pd", "Pd", "Pd", "Pd", "Pd", "Pd"],
  "fractional_positions": [[0.648, 0.648, 0.648], [0.352, 0.352, 0.352], [0.000, 0.000, 0.000], [0.500, 0.000, 0.000], [0.000, 0.500, 0.000], [0.000, 0.000, 0.500], [0.377, 0.377, 0.915], [0.812, 0.812, 0.316], [0.316, 0.812, 0.812], [0.915, 0.377, 0.377], [0.812, 0.316, 0.812], [0.377, 0.915, 0.377], [0.623, 0.623, 0.085], [0.188, 0.188, 0.684], [0.684, 0.188, 0.188], [0.085, 0.623, 0.623], [0.188, 0.684, 0.188], [0.623, 0.085, 0.623]]
}

[5]
{
  "formula": "AcPrGe2Pd2",
  "functional": "PBE",
  "state": "relaxed",
  "dos_at_fermi_per_ev_fu": 4.77,
  "ef_ev_per_atom": -0.89,
  "total_magnetization_mub_per_cell": 0.00,
  "lattice": [[4.385, 0.000, 0.000], [-2.193, 3.798, 0.000], [0.000, 0.000, 8.577]],
  "species": ["Ac", "Pr", "Ge", "Ge", "Pd", "Pd"],
  "fractional_positions": [[0.000, 0.000, 0.000], [0.000, 0.000, 0.500], [0.667, 0.333, 0.736], [0.333, 0.667, 0.264], [0.667, 0.333, 0.260], [0.333, 0.667, 0.740]]
}

[6]
{
  "formula": "Ac2PrGe2Pd7",
  "functional": "PBE",
  "state": "relaxed",
  "dos_at_fermi_per_ev_fu": 5.42,
  "ef_ev_per_atom": -0.79,
  "total_magnetization_mub_per_cell": 0.00,
  "lattice": [[4.288, 0.024, -0.125], [0.029, 4.288, -0.125], [1.724, 1.722, 13.854]],
  "species": ["Ac", "Ac", "Pr", "Ge", "Ge", "Pd", "Pd", "Pd", "Pd", "Pd", "Pd", "Pd"],
  "fractional_positions": [[0.898, 0.898, 0.352], [0.102, 0.102, 0.648], [0.000, 0.000, 0.000], [0.577, 0.577, 0.756], [0.423, 0.423, 0.244], [0.500, 0.500, 0.000], [0.384, 0.384, 0.425], [0.616, 0.616, 0.575], [0.951, 0.454, 0.152], [0.454, 0.951, 0.152], [0.546, 0.049, 0.848], [0.049, 0.546, 0.848]]
}

It is found that the total DFT energy (no corrections) values, taken in the order of the records, are -5.591; -5.687; -5.477; -5.421; -5.643; -5.671 eV/atom.